Model P:
Here is an optimized crystal structure of RuCl from Alexandria via LeMat-Bulk. Energies are from PBE-GGA.

Unit cell a=3.542 b=3.579 c=8.196 alpha=97.74 beta=90.85 gamma=119.65
Space group P1 (No. 1)
Unique sites:
Ru 0.000 0.000 0.000 x1
Ru 0.368 0.726 0.145 x1
Cl 0.485 0.986 0.785 x1
Cl 0.739 0.451 0.346 x1

***

Model Q:
Here is an optimized crystal structure of RuCl from Alexandria via LeMat-Bulk. Energies are from PBE-GGA.

Unit cell a=2.992 b=3.646 c=8.584 alpha=98.81 beta=90.31 gamma=114.20
Space group P1 (No. 1)
Unique sites:
Ru 0.000 0.000 0.000 x1
Ru 0.316 0.628 0.169 x1
Cl 0.458 0.922 0.781 x1
Cl 0.654 0.299 0.361 x1

***

Which of them is most stable, and which least? Most stable: model P; least stable: model Q.

***

Model P:
Here is an optimized crystal structure of RuCl from Alexandria via LeMat-Bulk. Energies are from PBE-GGA.

Unit cell a=3.937 b=3.937 c=5.300 alpha=90.00 beta=90.00 gamma=90.00
Space group P4/nmm (No. 129, origin choice 2)
Unique sites:
Ru 0.250 0.750 0.000 x2
Cl 0.250 0.250 0.256 x2

***

Model Q:
Here is an optimized crystal structure of RuCl from Alexandria via LeMat-Bulk. Energies are from PBE-GGA.

Unit cell a=6.703 b=3.514 c=8.413 alpha=90.00 beta=90.00 gamma=90.00
Space group Pnma (No. 62)
Unique sites:
Ru 0.045 0.250 0.079 x4
Cl 0.215 0.250 0.658 x4

***

Which of them is most stable, and which least? Most stable: model Q; least stable: model P.

***

Model P:
Here is an optimized crystal structure of RuCl from Alexandria via LeMat-Bulk. Energies are from PBE-GGA.

Unit cell a=5.054 b=5.054 c=5.054 alpha=90.00 beta=90.00 gamma=90.00
Space group Fm-3m (No. 225)
Unique sites:
Ru 0.000 0.000 0.000 x4
Cl 0.000 0.000 0.500 x4

***

Model Q:
Here is an optimized crystal structure of RuCl from Alexandria via LeMat-Bulk. Energies are from PBE-GGA.

Unit cell a=6.695 b=7.644 c=12.060 alpha=90.00 beta=90.00 gamma=90.00
Space group Fddd (No. 70, origin choice 2)
Unique sites:
Ru 0.125 0.125 0.027 x16
Cl 0.125 0.328 0.625 x16

***

Which of them is most stable, and which least? Most stable: model Q; least stable: model P.

***

Model P:
Here is an optimized crystal structure of RuCl from Alexandria via LeMat-Bulk. Energies are from PBE-GGA.

Unit cell a=2.9654 b=2.9654 c=7.8559 alpha=90.00 beta=90.00 gamma=120.00
Space group P6_3/mmc (No. 194)
Unique sites:
Ru 0.3333 0.6667 0.2500 x2
Cl 0.0000 0.0000 0.0000 x2

***

Model Q:
Here is an optimized crystal structure of RuCl from Alexandria via LeMat-Bulk. Energies are from PBE-GGA.

Unit cell a=3.801 b=9.683 c=6.014 alpha=90.00 beta=90.00 gamma=90.00
Space group Pmmn (No. 59, origin choice 2)
Unique sites:
Ru 0.250 0.001 0.118 x4
Ru 0.250 0.250 0.286 x2
Cl 0.250 0.094 0.645 x4
Cl 0.250 0.750 0.930 x2

***

Model R:
Here is an optimized crystal structure of RuCl from Alexandria via LeMat-Bulk. Energies are from PBE-GGA.

Unit cell a=3.0003 b=3.0003 c=8.2107 alpha=90.00 beta=90.00 gamma=120.00
Space group P6_3mc (No. 186)
Unique sites:
Ru 0.3333 0.6667 0.0000 x2
Cl 0.3333 0.6667 0.7272 x2

***

Which of them is most stable, and which least? Most stable: model Q; least stable: model P.